Entry 1:
DFT (PBE) results for a relaxed BaCo2Re crystal.

## Properties
DFT formation energy (kJ per mole of atoms): 78.6
Symmetry: No. 141
Relative energy among the computed polymorphs (meV/atom): 459.5
Crystal system: tetragonal

Structure (extended XYZ):
```
8
Lattice="-3.876 -3.188 0.027 1.367 -1.700 -4.519 3.122 -7.737 1.069" Properties=species:S:1:pos:R:3 pbc="T T T"
Re 0.000 0.000 0.000
Re -1.004 -6.684 -0.575
Co -2.439 -4.935 -0.274
Co -1.757 -5.786 -2.533
Co 1.059 -7.211 0.246
Co -0.879 -8.804 0.261
Ba -1.255 -2.444 -2.246
Ba 1.617 -5.941 -2.848
```

=====

Entry 2:
DFT (PBE) results for a relaxed La3NdSm5 crystal.

## Properties
DFT formation energy (kJ per mole of atoms): 37.5
Symmetry: No. 12
Crystal system: monoclinic

Structure (extended XYZ):
```
18
Lattice="7.535 0.384 -0.580 2.432 7.142 -0.580 2.769 2.091 12.344" Properties=species:S:1:pos:R:3 pbc="T T T"
La 8.318 6.281 9.009
La 8.730 6.592 5.707
La 0.000 0.000 0.000
La 1.384 1.045 6.172
La 4.417 3.335 2.175
La 4.006 3.025 5.477
Nd 3.397 2.565 8.913
Nd 9.338 7.051 2.271
Sm 8.514 3.188 2.042
Sm 4.053 4.995 -0.580
Sm 7.461 5.634 -0.529
Sm 6.549 4.945 3.967
Sm 6.186 4.671 7.217
Sm 5.274 3.982 11.713
Sm 5.397 7.316 2.042
Sm 5.913 2.531 -0.580
Sm 4.221 6.428 9.142
Sm 7.338 2.300 9.142
```

=====

Entry 3:
DFT (PBE) results for a relaxed PrPaNi2 crystal.

## Properties
DFT formation energy (kJ per mole of atoms): -24.0
Symmetry: No. 11
Relative energy among the computed polymorphs (meV/atom): 5.2
Crystal system: monoclinic

Structure (extended XYZ):
```
8
Lattice="4.290 0.000 0.000 0.000 5.908 -2.403 0.000 -1.293 6.782" Properties=species:S:1:pos:R:3 pbc="T T T"
Pr 1.072 1.194 0.220
Pr 3.217 3.420 4.160
Pa 3.217 4.257 0.801
Pa 1.072 0.358 3.578
Ni 1.072 3.805 -0.801
Ni 3.217 0.810 5.180
Ni 3.217 1.363 2.252
Ni 1.072 3.251 2.128
```

=====

Entry 4:
DFT (PBE) results for a relaxed ZrAl4Si2 crystal.

## Properties
Formation energy without anion corrections (eV/atom): -0.143
Symmetry: No. 11
Relative energy among the computed polymorphs (meV/atom): 0.0
Crystal system: monoclinic

Structure (extended XYZ):
```
14
Lattice="3.804 0.000 0.000 0.000 8.058 -0.027 0.000 1.950 7.980" Properties=species:S:1:pos:R:3 pbc="T T T"
Si 0.951 6.070 0.415
Si 2.853 3.938 7.537
Si 0.951 6.757 4.623
Si 2.853 3.251 3.329
Al 0.951 2.234 7.067
Al 2.853 7.774 0.886
Al 0.951 1.722 4.555
Al 2.853 8.286 3.398
Al 0.951 5.064 2.758
Al 2.853 4.944 5.194
Al 0.951 5.722 7.046
Al 2.853 4.286 0.906
Zr 2.853 7.941 6.335
Zr 0.951 2.067 1.617
```

=====

no.,M_tot (μB per cell)
1,1.85
2,0.00
3,0.00
4,0.00